(1)
Computed, not measured: a geometry-optimized Co4TeSe structure at the GGA-PBEsol level of DFT.

Cell lengths 6.917, 6.917, 6.917 Å; angles 90.00, 90.00, 90.00 degrees
Space group F-43m (No. 216)
Asymmetric unit:
Co 0.125 0.125 0.125 (multiplicity 16)
Te 0.000 0.000 0.500 (multiplicity 4)
Se 0.250 0.250 0.750 (multiplicity 4)

Properties
- energy relative to the elements, uncorrected (eV per atom) = 0.48

***

(2)
Computed, not measured: a geometry-optimized Ba6Mg7 structure at the GGA-PBEsol level of DFT.

Cell lengths 6.6620, 6.6620, 37.2517 Å; angles 90.00, 90.00, 120.00 degrees
Space group R-3m (No. 166, hexagonal axes)
Asymmetric unit:
Ba 0.0000 0.0000 0.0529 (multiplicity 6)
Ba 0.0000 0.0000 0.1542 (multiplicity 6)
Ba 0.0000 0.0000 0.3278 (multiplicity 6)
Mg 0.0000 0.0000 0.5000 (multiplicity 3)
Mg 0.0122 0.5061 0.0955 (multiplicity 18)

Properties
- energy relative to the elements (eV/atom) = -0.0348